Material: BSe2IBr
Method: DFT, PBE
State: optimized geometry

Computed properties:
Energy above the lowest structure with this stoichiometry (meV/atom): 725
Energy relative to the elements, uncorrected (eV/atom): 1.48
Total magnetic moment (μB/f.u.): 0.00

Structure (CIF):
```
data_BSe2IBr
_chemical_formula_sum 'B1 Se2 I1 Br1'
_symmetry_space_group_name_H-M 'P 4/m m m'
_symmetry_Int_Tables_number 123
_symmetry_space_group_name_Hall '-P 4 2'
_cell_length_a 5.415
_cell_length_b 5.415
_cell_length_c 5.744
_cell_angle_alpha 90.00
_cell_angle_beta 90.00
_cell_angle_gamma 90.00
loop_
_atom_site_label
_atom_site_type_symbol
_atom_site_fract_x
_atom_site_fract_y
_atom_site_fract_z
B1 B 0.000 0.000 0.000
Se1 Se 0.000 0.500 0.500
I1 I 0.500 0.500 0.500
Br1 Br 0.500 0.500 0.000
```

---

Material: BeSn3Hg
Method: DFT, PBE
State: optimized geometry

Computed properties:
Energy above the lowest structure with this stoichiometry (meV/atom): 0
Total magnetic moment (μB/f.u.): 0.00
DFT formation energy (kJ/mol of atoms): 30.1

Structure (CIF):
```
data_BeSn3Hg
_chemical_formula_sum 'Be1 Sn3 Hg1'
_symmetry_space_group_name_H-M 'P m -3 m'
_symmetry_Int_Tables_number 221
_symmetry_space_group_name_Hall '-P 4 2 3'
_cell_length_a 5.004
_cell_length_b 5.004
_cell_length_c 5.004
_cell_angle_alpha 90.00
_cell_angle_beta 90.00
_cell_angle_gamma 90.00
loop_
_atom_site_label
_atom_site_type_symbol
_atom_site_fract_x
_atom_site_fract_y
_atom_site_fract_z
Be1 Be 0.000 0.000 0.000
Sn1 Sn 0.000 0.000 0.500
Hg1 Hg 0.500 0.500 0.500
```

---

Material: YWN3
Method: DFT, PBE
State: optimized geometry

Computed properties:
Energy relative to the elements, uncorrected (eV/atom): -0.86
Total magnetic moment (μB/f.u.): 0.00

Structure (CIF):
```
data_YWN3
_chemical_formula_sum 'Y4 W4 N12'
_symmetry_space_group_name_H-M 'P 1 21/c 1'
_symmetry_Int_Tables_number 14
_cell_length_a 7.293
_cell_length_b 6.737
_cell_length_c 6.788
_cell_angle_alpha 90.00
_cell_angle_beta 116.91
_cell_angle_gamma 90.00
loop_
_symmetry_equiv_pos_as_xyz
'x,y,z'
'-x,-y,-z'
'-x,y+1/2,-z+1/2'
'x,-y+1/2,z+1/2'
loop_
_atom_site_label
_atom_site_type_symbol
_atom_site_fract_x
_atom_site_fract_y
_atom_site_fract_z
Y1 Y 0.107 0.249 0.037
W1 W 0.307 0.621 0.890
N1 N 0.018 0.544 0.778
N2 N 0.279 0.729 0.627
N3 N 0.372 0.157 0.414
```

---

Material: Ce2PuTi
Method: DFT, PBE
State: optimized geometry

Computed properties:
Energy above the lowest structure with this stoichiometry (meV/atom): 22
Total magnetic moment (μB/f.u.): 5.53
DFT formation energy (kJ/mol of atoms): 17.8

Structure (CIF):
```
data_Ce2PuTi
_chemical_formula_sum 'Ce2 Pu1 Ti1'
_symmetry_space_group_name_H-M 'P 4/m m m'
_symmetry_Int_Tables_number 123
_symmetry_space_group_name_Hall '-P 4 2'
_cell_length_a 3.786
_cell_length_b 3.786
_cell_length_c 6.603
_cell_angle_alpha 90.00
_cell_angle_beta 90.00
_cell_angle_gamma 90.00
loop_
_atom_site_label
_atom_site_type_symbol
_atom_site_fract_x
_atom_site_fract_y
_atom_site_fract_z
Ce1 Ce 0.000 0.000 0.240
Pu1 Pu 0.500 0.500 0.500
Ti1 Ti 0.500 0.500 0.000
```

---

Material: BaLi2Pr2Tl2
Method: DFT, PBE
State: optimized geometry

Computed properties:
Total magnetic moment (μB/f.u.): 0.00
DFT formation energy (kJ/mol of atoms): -20.8

Structure (CIF):
```
data_BaLi2Pr2Tl2
_chemical_formula_sum 'Ba3 Li6 Pr6 Tl6'
_symmetry_space_group_name_H-M 'R -3 m'
_symmetry_Int_Tables_number 166
_symmetry_space_group_name_Hall '-R 3 2"'
_cell_length_a 5.0857
_cell_length_b 5.0857
_cell_length_c 29.7750
_cell_angle_alpha 90.00
_cell_angle_beta 90.00
_cell_angle_gamma 120.00
loop_
_atom_site_label
_atom_site_type_symbol
_atom_site_fract_x
_atom_site_fract_y
_atom_site_fract_z
Ba1 Ba 0.0000 0.0000 0.0000
Li1 Li 0.0000 0.0000 0.4146
Pr1 Pr 0.0000 0.0000 0.1303
Tl1 Tl 0.0000 0.0000 0.2502
```

---

Material: BiP2OsRh
Method: DFT, PBE
State: optimized geometry

Computed properties:
Total magnetic moment (μB/f.u.): 1.54
DFT formation energy (kJ/mol of atoms): 96.8

Structure (CIF):
```
data_BiP2OsRh
_chemical_formula_sum 'Bi1 P2 Os1 Rh1'
_symmetry_space_group_name_H-M 'P 4/m m m'
_symmetry_Int_Tables_number 123
_symmetry_space_group_name_Hall '-P 4 2'
_cell_length_a 4.436
_cell_length_b 4.436
_cell_length_c 5.246
_cell_angle_alpha 90.00
_cell_angle_beta 90.00
_cell_angle_gamma 90.00
loop_
_atom_site_label
_atom_site_type_symbol
_atom_site_fract_x
_atom_site_fract_y
_atom_site_fract_z
Bi1 Bi 0.000 0.000 0.000
P1 P 0.000 0.500 0.500
Os1 Os 0.500 0.500 0.000
Rh1 Rh 0.500 0.500 0.500
```

---

Material: Fe3C
Method: DFT, PBE
State: optimized geometry

Computed properties:
Total magnetic moment (μB/f.u.): 6.81
DFT formation energy (kJ/mol of atoms): 85.7

Structure (CIF):
```
data_Fe3C
_chemical_formula_sum 'Fe9 C3'
_symmetry_space_group_name_H-M 'R -3 m'
_symmetry_Int_Tables_number 166
_symmetry_space_group_name_Hall '-R 3 2"'
_cell_length_a 7.4009
_cell_length_b 7.4009
_cell_length_c 2.5778
_cell_angle_alpha 90.00
_cell_angle_beta 90.00
_cell_angle_gamma 120.00
loop_
_atom_site_label
_atom_site_type_symbol
_atom_site_fract_x
_atom_site_fract_y
_atom_site_fract_z
Fe1 Fe 0.0000 0.5000 0.0000
C1 C 0.0000 0.0000 0.0000
```

---

Material: TbHo2Cu
Method: DFT, PBE
State: optimized geometry

Computed properties:
Energy above the lowest structure with this stoichiometry (meV/atom): 136
Total magnetic moment (μB/f.u.): 0.00
DFT formation energy (kJ/mol of atoms): 2.7

Structure (CIF):
```
data_TbHo2Cu
_chemical_formula_sum 'Tb3 Ho6 Cu3'
_symmetry_space_group_name_H-M 'R -3 m'
_symmetry_Int_Tables_number 166
_symmetry_space_group_name_Hall '-R 3 2"'
_cell_length_a 3.5681
_cell_length_b 3.5681
_cell_length_c 29.6202
_cell_angle_alpha 90.00
_cell_angle_beta 90.00
_cell_angle_gamma 120.00
loop_
_atom_site_label
_atom_site_type_symbol
_atom_site_fract_x
_atom_site_fract_y
_atom_site_fract_z
Tb1 Tb 0.0000 0.0000 0.0000
Ho1 Ho 0.0000 0.0000 0.2348
Cu1 Cu 0.0000 0.0000 0.5000
```

---

Material: Ag3HgPd4
Method: DFT, PBE
State: optimized geometry

Computed properties:
Energy above the lowest structure with this stoichiometry (meV/atom): 0
Total magnetic moment (μB/f.u.): 0.00
DFT formation energy (kJ/mol of atoms): -7.5

Structure (CIF):
```
data_Ag3HgPd4
_chemical_formula_sum 'Ag6 Hg2 Pd8'
_symmetry_space_group_name_H-M 'P m m a'
_symmetry_Int_Tables_number 51
_cell_length_a 9.322
_cell_length_b 6.122
_cell_length_c 4.756
_cell_angle_alpha 90.00
_cell_angle_beta 90.00
_cell_angle_gamma 90.00
loop_
_symmetry_equiv_pos_as_xyz
'x,y,z'
'-x,-y,-z'
'-x+1/2,-y,z'
'x+1/2,y,-z'
'x+1/2,-y,-z'
'-x+1/2,y,z'
'-x,y,-z'
'x,-y,z'
loop_
_atom_site_label
_atom_site_type_symbol
_atom_site_fract_x
_atom_site_fract_y
_atom_site_fract_z
Ag1 Ag 0.000 0.000 0.000
Ag2 Ag 0.250 0.000 0.400
Ag3 Ag 0.250 0.500 0.406
Hg1 Hg 0.000 0.500 0.000
Pd1 Pd 0.000 0.248 0.500
Pd2 Pd 0.250 0.248 0.898
```

---

Material: InNiPS2
Method: DFT, PBE
State: optimized geometry

Computed properties:
Energy above the lowest structure with this stoichiometry (meV/atom): 0
Energy relative to the elements, uncorrected (eV/atom): 0.27
Total magnetic moment (μB/f.u.): 0.00

Structure (CIF):
```
data_InNiPS2
_chemical_formula_sum 'In1 Ni1 P1 S2'
_symmetry_space_group_name_H-M 'P 4/m m m'
_symmetry_Int_Tables_number 123
_symmetry_space_group_name_Hall '-P 4 2'
_cell_length_a 4.816
_cell_length_b 4.816
_cell_length_c 4.132
_cell_angle_alpha 90.00
_cell_angle_beta 90.00
_cell_angle_gamma 90.00
loop_
_atom_site_label
_atom_site_type_symbol
_atom_site_fract_x
_atom_site_fract_y
_atom_site_fract_z
In1 In 0.000 0.000 0.000
Ni1 Ni 0.500 0.500 0.500
P1 P 0.500 0.500 0.000
S1 S 0.000 0.500 0.500
```

---

Material: In2Ni2Cl
Method: DFT, PBE
State: optimized geometry

Computed properties:
Energy above the lowest structure with this stoichiometry (meV/atom): 0
Energy relative to the elements, uncorrected (eV/atom): -0.04
Total magnetic moment (μB/f.u.): 0.00

Structure (CIF):
```
data_In2Ni2Cl
_chemical_formula_sum 'In4 Ni4 Cl2'
_symmetry_space_group_name_H-M 'P 4/m b m'
_symmetry_Int_Tables_number 127
_symmetry_space_group_name_Hall '-P 4 2ab'
_cell_length_a 7.596
_cell_length_b 7.596
_cell_length_c 3.087
_cell_angle_alpha 90.00
_cell_angle_beta 90.00
_cell_angle_gamma 90.00
loop_
_atom_site_label
_atom_site_type_symbol
_atom_site_fract_x
_atom_site_fract_y
_atom_site_fract_z
In1 In 0.179 0.321 0.000
Ni1 Ni 0.116 0.616 0.500
Cl1 Cl 0.000 0.000 0.500
```

---

Material: Na7BrCl2O2
Method: DFT, PBE
State: optimized geometry

Computed properties:
Energy relative to the elements, uncorrected (eV/atom): -1.47
Total magnetic moment (μB/f.u.): 0.17

Structure (CIF):
```
data_Na7BrCl2O2
_chemical_formula_sum 'Na14 Br2 Cl4 O4'
_symmetry_space_group_name_H-M 'I 4/m m m'
_symmetry_Int_Tables_number 139
_symmetry_space_group_name_Hall '-I 4 2'
_cell_length_a 4.539
_cell_length_b 4.539
_cell_length_c 23.548
_cell_angle_alpha 90.00
_cell_angle_beta 90.00
_cell_angle_gamma 90.00
loop_
_atom_site_label
_atom_site_type_symbol
_atom_site_fract_x
_atom_site_fract_y
_atom_site_fract_z
Na1 Na 0.000 0.000 0.000
Na2 Na 0.000 0.000 0.195
Na3 Na 0.000 0.500 0.099
Br1 Br 0.000 0.000 0.500
Cl1 Cl 0.000 0.000 0.311
O1 O 0.000 0.000 0.099
```